A plane-wave DFT calculation with GGA-PBE was carried out for a geometry-optimized Pu2NiGe structure.

Structure (CIF):
```
data_Pu2NiGe
_symmetry_space_group_name_H-M 'I -4 2 d'
_symmetry_Int_Tables_number 122
_symmetry_space_group_name_Hall 'I -4 2bw'
_cell_length_a 9.385
_cell_length_b 9.385
_cell_length_c 4.537
_cell_angle_alpha 90.00
_cell_angle_beta 90.00
_cell_angle_gamma 90.00
loop_
_atom_site_label
_atom_site_type_symbol
_atom_site_fract_x
_atom_site_fract_y
_atom_site_fract_z
Pu1 Pu 0.121 0.250 0.125
Ni1 Ni 0.000 0.000 0.000
Ge1 Ge 0.000 0.000 0.500
```

***

A plane-wave DFT calculation with GGA-PBE was carried out for a geometry-optimized Pu3Ni2Ge4 structure.

Output
Energy relative to the lowest polymorph listed for this composition, kJ/mol of formula units: 27

Structure (CIF):
```
data_Pu3Ni2Ge4
_symmetry_space_group_name_H-M 'C 1 2/m 1'
_symmetry_Int_Tables_number 12
_cell_length_a 10.729
_cell_length_b 4.191
_cell_length_c 8.138
_cell_angle_alpha 90.00
_cell_angle_beta 103.40
_cell_angle_gamma 90.00
loop_
_symmetry_equiv_pos_as_xyz
'x,y,z'
'-x,-y,-z'
'-x,y,-z'
'x,-y,z'
'x+1/2,y+1/2,z'
'-x+1/2,-y+1/2,-z'
'-x+1/2,y+1/2,-z'
'x+1/2,-y+1/2,z'
loop_
_atom_site_label
_atom_site_type_symbol
_atom_site_fract_x
_atom_site_fract_y
_atom_site_fract_z
Pu1 Pu 0.000 0.000 0.000
Pu2 Pu 0.165 0.500 0.659
Ni1 Ni 0.101 0.500 0.277
Ge1 Ge 0.058 0.000 0.380
Ge2 Ge 0.223 0.500 0.073
```

***

A plane-wave DFT calculation with GGA-PBE was carried out for a geometry-optimized Pu3Ni2Ge4 structure.

Output
Energy relative to the lowest polymorph listed for this composition, kJ/mol of formula units: 0

Structure (CIF):
```
data_Pu3Ni2Ge4
_symmetry_space_group_name_H-M 'C 1 2/m 1'
_symmetry_Int_Tables_number 12
_cell_length_a 10.762
_cell_length_b 4.225
_cell_length_c 8.181
_cell_angle_alpha 90.00
_cell_angle_beta 110.96
_cell_angle_gamma 90.00
loop_
_symmetry_equiv_pos_as_xyz
'x,y,z'
'-x,-y,-z'
'-x,y,-z'
'x,-y,z'
'x+1/2,y+1/2,z'
'-x+1/2,-y+1/2,-z'
'-x+1/2,y+1/2,-z'
'x+1/2,-y+1/2,z'
loop_
_atom_site_label
_atom_site_type_symbol
_atom_site_fract_x
_atom_site_fract_y
_atom_site_fract_z
Pu1 Pu 0.000 0.000 0.000
Pu2 Pu 0.112 0.500 0.678
Ni1 Ni 0.180 0.500 0.339
Ge1 Ge 0.110 0.000 0.402
Ge2 Ge 0.219 0.500 0.074
```

***

A plane-wave DFT calculation with GGA-PBE was carried out for a geometry-optimized PuNi9Ge2 structure.

Structure (CIF):
```
data_PuNi9Ge2
_symmetry_space_group_name_H-M 'I 41/a m d'
_symmetry_Int_Tables_number 141
_cell_length_a 9.905
_cell_length_b 9.905
_cell_length_c 6.281
_cell_angle_alpha 90.00
_cell_angle_beta 90.00
_cell_angle_gamma 90.00
loop_
_symmetry_equiv_pos_as_xyz
'x,y,z'
'-x,-y,-z'
'-y+1/4,x+3/4,z+1/4'
'y+1/4,-x+3/4,-z+1/4'
'-x+1/2,-y,z+1/2'
'x+1/2,y,-z+1/2'
'y+1/4,-x+1/4,z+3/4'
'-y+1/4,x+1/4,-z+3/4'
'x,-y,-z'
'-x,y,z'
'-y+1/4,-x+1/4,-z+3/4'
'y+1/4,x+1/4,z+3/4'
'-x+1/2,y,-z+1/2'
'x+1/2,-y,z+1/2'
'y+1/4,x+3/4,-z+1/4'
'-y+1/4,-x+3/4,z+1/4'
'x+1/2,y+1/2,z+1/2'
'-x+1/2,-y+1/2,-z+1/2'
'-y+3/4,x+1/4,z+3/4'
'y+3/4,-x+1/4,-z+3/4'
'-x,-y+1/2,z'
'x,y+1/2,-z'
'y+3/4,-x+3/4,z+1/4'
'-y+3/4,x+3/4,-z+1/4'
'x+1/2,-y+1/2,-z+1/2'
'-x+1/2,y+1/2,z+1/2'
'-y+3/4,-x+3/4,-z+1/4'
'y+3/4,x+3/4,z+1/4'
'-x,y+1/2,-z'
'x,-y+1/2,z'
'y+3/4,x+1/4,-z+3/4'
'-y+3/4,-x+1/4,z+3/4'
loop_
_atom_site_label
_atom_site_type_symbol
_atom_site_fract_x
_atom_site_fract_y
_atom_site_fract_z
Pu1 Pu 0.000 0.250 0.375
Ni1 Ni 0.000 0.250 0.875
Ni2 Ni 0.124 0.045 0.682
Ge1 Ge 0.000 0.000 0.000
```

***

A plane-wave DFT calculation with GGA-PBE was carried out for a geometry-optimized Pu3Ni7Ge2 structure.

Structure (CIF):
```
data_Pu3Ni7Ge2
_symmetry_space_group_name_H-M 'R -3 m'
_symmetry_Int_Tables_number 166
_symmetry_space_group_name_Hall '-R 3 2"'
_cell_length_a 5.1776
_cell_length_b 5.1776
_cell_length_c 23.4911
_cell_angle_alpha 90.00
_cell_angle_beta 90.00
_cell_angle_gamma 120.00
loop_
_atom_site_label
_atom_site_type_symbol
_atom_site_fract_x
_atom_site_fract_y
_atom_site_fract_z
Pu1 Pu 0.0000 0.0000 0.0000
Pu2 Pu 0.0000 0.0000 0.1431
Ni1 Ni 0.0000 0.0000 0.5000
Ni2 Ni 0.0029 0.5014 0.0810
Ge1 Ge 0.0000 0.0000 0.3316
```

***

A plane-wave DFT calculation with GGA-PBE was carried out for a geometry-optimized Pu3NiGe3 structure.

Structure (CIF):
```
data_Pu3NiGe3
_symmetry_space_group_name_H-M 'C 1 2/m 1'
_symmetry_Int_Tables_number 12
_cell_length_a 10.504
_cell_length_b 4.316
_cell_length_c 13.760
_cell_angle_alpha 90.00
_cell_angle_beta 109.10
_cell_angle_gamma 90.00
loop_
_symmetry_equiv_pos_as_xyz
'x,y,z'
'-x,-y,-z'
'-x,y,-z'
'x,-y,z'
'x+1/2,y+1/2,z'
'-x+1/2,-y+1/2,-z'
'-x+1/2,y+1/2,-z'
'x+1/2,-y+1/2,z'
loop_
_atom_site_label
_atom_site_type_symbol
_atom_site_fract_x
_atom_site_fract_y
_atom_site_fract_z
Pu1 Pu 0.026 0.000 0.382
Pu2 Pu 0.091 0.000 0.911
Pu3 Pu 0.245 0.500 0.773
Ni1 Ni 0.249 0.000 0.599
Ge1 Ge 0.058 0.500 0.243
Ge2 Ge 0.117 0.500 0.071
Ge3 Ge 0.145 0.500 0.542
```

***

A plane-wave DFT calculation with GGA-PBE was carried out for a geometry-optimized PuNi6Ge2 structure.

Output
Energy relative to the lowest polymorph listed for this composition, kJ/mol of formula units: 0

Structure (CIF):
```
data_PuNi6Ge2
_symmetry_space_group_name_H-M 'C 1 2/m 1'
_symmetry_Int_Tables_number 12
_cell_length_a 9.090
_cell_length_b 6.953
_cell_length_c 4.210
_cell_angle_alpha 90.00
_cell_angle_beta 98.82
_cell_angle_gamma 90.00
loop_
_symmetry_equiv_pos_as_xyz
'x,y,z'
'-x,-y,-z'
'-x,y,-z'
'x,-y,z'
'x+1/2,y+1/2,z'
'-x+1/2,-y+1/2,-z'
'-x+1/2,y+1/2,-z'
'x+1/2,-y+1/2,z'
loop_
_atom_site_label
_atom_site_type_symbol
_atom_site_fract_x
_atom_site_fract_y
_atom_site_fract_z
Pu1 Pu 0.000 0.000 0.000
Ni1 Ni 0.000 0.267 0.500
Ni2 Ni 0.234 0.329 0.249
Ge1 Ge 0.170 0.500 0.738
```

***

A plane-wave DFT calculation with GGA-PBE was carried out for a geometry-optimized Pu2NiGe3 structure.

Output
Energy relative to the lowest polymorph listed for this composition, kJ/mol of formula units: 4

Structure (CIF):
```
data_Pu2NiGe3
_symmetry_space_group_name_H-M 'P m m 2'
_symmetry_Int_Tables_number 25
_cell_length_a 4.003
_cell_length_b 4.208
_cell_length_c 7.188
_cell_angle_alpha 90.00
_cell_angle_beta 90.00
_cell_angle_gamma 90.00
loop_
_symmetry_equiv_pos_as_xyz
'x,y,z'
'-x,-y,z'
'-x,y,z'
'x,-y,z'
loop_
_atom_site_label
_atom_site_type_symbol
_atom_site_fract_x
_atom_site_fract_y
_atom_site_fract_z
Pu1 Pu 0.000 0.000 0.000
Pu2 Pu 0.000 0.500 0.492
Ni1 Ni 0.500 0.000 0.316
Ge1 Ge 0.500 0.000 0.640
Ge2 Ge 0.500 0.500 0.177
Ge3 Ge 0.500 0.500 0.830
```

***

A plane-wave DFT calculation with GGA-PBE was carried out for a geometry-optimized Pu3Ni6Ge5 structure.

Structure (CIF):
```
data_Pu3Ni6Ge5
_symmetry_space_group_name_H-M 'P m m n'
_symmetry_Int_Tables_number 59
_cell_length_a 3.991
_cell_length_b 12.122
_cell_length_c 9.470
_cell_angle_alpha 90.00
_cell_angle_beta 90.00
_cell_angle_gamma 90.00
loop_
_symmetry_equiv_pos_as_xyz
'x,y,z'
'-x,-y,-z'
'-x+1/2,-y+1/2,z'
'x+1/2,y+1/2,-z'
'x+1/2,-y,-z'
'-x+1/2,y,z'
'-x,y+1/2,-z'
'x,-y+1/2,z'
loop_
_atom_site_label
_atom_site_type_symbol
_atom_site_fract_x
_atom_site_fract_y
_atom_site_fract_z
Pu1 Pu 0.250 0.078 0.250
Pu2 Pu 0.250 0.750 0.248
Ni1 Ni 0.250 0.062 0.898
Ni2 Ni 0.250 0.250 0.000
Ni3 Ni 0.250 0.250 0.499
Ni4 Ni 0.250 0.584 0.501
Ge1 Ge 0.250 0.084 0.639
Ge2 Ge 0.250 0.628 0.977
Ge3 Ge 0.250 0.750 0.646
```

***

A plane-wave DFT calculation with GGA-PBE was carried out for a geometry-optimized Pu2Ni3Ge5 structure.

Output
Energy relative to the lowest polymorph listed for this composition, kJ/mol of formula units: 67

Structure (CIF):
```
data_Pu2Ni3Ge5
_symmetry_space_group_name_H-M 'C m c 21'
_symmetry_Int_Tables_number 36
_cell_length_a 4.186
_cell_length_b 24.346
_cell_length_c 6.587
_cell_angle_alpha 90.00
_cell_angle_beta 90.00
_cell_angle_gamma 90.00
loop_
_symmetry_equiv_pos_as_xyz
'x,y,z'
'-x,-y,z+1/2'
'-x,y,z'
'x,-y,z+1/2'
'x+1/2,y+1/2,z'
'-x+1/2,-y+1/2,z+1/2'
'-x+1/2,y+1/2,z'
'x+1/2,-y+1/2,z+1/2'
loop_
_atom_site_label
_atom_site_type_symbol
_atom_site_fract_x
_atom_site_fract_y
_atom_site_fract_z
Pu1 Pu 0.000 0.021 0.000
Pu2 Pu 0.000 0.326 0.992
Ni1 Ni 0.000 0.108 0.737
Ni2 Ni 0.000 0.281 0.506
Ni3 Ni 0.000 0.445 0.784
Ge1 Ge 0.000 0.097 0.364
Ge2 Ge 0.000 0.206 0.793
Ge3 Ge 0.000 0.213 0.211
Ge4 Ge 0.000 0.380 0.488
Ge5 Ge 0.000 0.449 0.170
```

***

Computed values of magnetic moment (unit: μB per cell) for the preceding records, in sequence: 47.7; 30.4; 32.1; 18.1; 48.1; 66.8; 9.7; 10.6; 31.6; 42.1.
Computed values of formation energy (unit: eV per atom) for the preceding records, in sequence: 0.126; -0.438; -0.470; -0.255; -0.316; -0.456; -0.088; -0.422; -0.452; -0.408.